[1]
VASP calculation (GGA-PBE) on a relaxed structure of InTe2Ir.

a b c (Å): 6.8454 6.8454 6.8454
angles (deg): 152.90 137.40 51.23
Positions (direct):
Te 0.9353 0.9353 0.0000
Te 0.2381 0.7381 0.5000
Ir 0.7620 0.2620 0.5000
In 0.5646 0.5646 0.0000

Summary:
Formation energy (no corrections)   0.15 eV per atom
Magnetization   0.0 Bohr magnetons per cell
Theoretical density   9.479 g/cm³
Final energy   -4.3213 eV/atom


[2]
VASP calculation (GGA-PBE) on a relaxed structure of InTeIr2.

a b c (Å): 3.1183 3.1183 8.3175
angles (deg): 90.00 90.00 89.97
Positions (direct):
Ir 0.0000 0.0000 0.0209
Ir 0.5000 0.5000 0.2406
Te 0.0000 0.0000 0.4298
In 0.5000 0.5000 0.8087

Summary:
Formation energy (no corrections)   0.30 eV per atom
Magnetization   0.0 Bohr magnetons per cell
Energy above the lowest structure with this stoichiometry   98 meV/atom
Theoretical density   12.871 g/cm³
Final energy   -5.5994 eV/atom


[3]
VASP calculation (GGA-PBE) on a relaxed structure of InTe2Ir.

a b c (Å): 5.2563 5.2563 6.1427
angles (deg): 69.82 69.82 43.52
Positions (direct):
Te 0.9045 0.9045 0.0608
Te 0.7263 0.7263 0.6989
Ir 0.2957 0.2957 0.3760
In 0.5736 0.5736 0.3643

Summary:
Formation energy (no corrections)   -0.12 eV per atom
Magnetization   0.0 Bohr magnetons per cell
Theoretical density   8.604 g/cm³
Final energy   -4.5900 eV/atom